1.
The following is a DFT calculation (PBE) of a geometry-optimized Pr2BeGa4Pt3 structure.

Cell lengths 4.2513, 4.2513, 10.6017 Å; angles 90.00, 90.00, 90.00 degrees
Space group P-4m2 (No. 115)
One atom of each set of equivalent atoms:
Pr 0.0000 0.5000 0.2463 [2 per cell]
Be 0.5000 0.5000 0.0000 [1 per cell]
Ga 0.0000 0.0000 0.5000 [1 per cell]
Ga 0.0000 0.5000 0.8741 [2 per cell]
Ga 0.5000 0.5000 0.5000 [1 per cell]
Pt 0.0000 0.0000 0.0000 [1 per cell]
Pt 0.0000 0.5000 0.6356 [2 per cell]

Output
ΔH_f (0 K) = -804 meV per atom

---

2.
The following is a DFT calculation (PBE) of a geometry-optimized CaTc2Br structure.

Cell lengths 3.2983, 5.6461, 4.3172 Å; angles 90.00, 91.57, 90.00 degrees
Space group P2/m (No. 10)
One atom of each set of equivalent atoms:
Ca 0.0000 0.0000 0.0000 [1 per cell]
Tc 0.3170 0.5000 0.2380 [2 per cell]
Br 0.5000 0.0000 0.5000 [1 per cell]

Output
relative energy among the computed polymorphs = 438 meV per atom
raw formation energy = 0.38 eV per atom

---

3.
The following is a DFT calculation (PBE) of a geometry-optimized AcPr6Sm8 structure.

Cell lengths 9.5317, 9.5317, 20.5367 Å; angles 90.00, 90.00, 120.00 degrees
Space group R-3 (No. 148, hexagonal axes)
One atom of each set of equivalent atoms:
Ac 0.0000 0.0000 0.0000 [3 per cell]
Pr 0.0396 0.7972 0.6912 [18 per cell]
Sm 0.0000 0.0000 0.4295 [6 per cell]
Sm 0.0609 0.8134 0.1651 [18 per cell]

Output
ΔH_f (0 K) = 148 meV per atom
relative energy among the computed polymorphs = 0 meV per atom

---

4.
The following is a DFT calculation (PBE) of a geometry-optimized HfInBr2 structure.

Cell lengths 9.1979, 9.1979, 5.9904 Å; angles 90.00, 90.00, 90.00 degrees
Space group I-42d (No. 122)
One atom of each set of equivalent atoms:
Hf 0.0000 0.0000 0.0000 [4 per cell]
In 0.0000 0.0000 0.5000 [4 per cell]
Br 0.1219 0.7500 0.1250 [8 per cell]

Output
relative energy among the computed polymorphs = 352 meV per atom
raw formation energy = -0.28 eV per atom

---

5.
The following is a DFT calculation (PBE) of a geometry-optimized Na2ScBr5 structure.

Cell lengths 5.5334, 14.4231, 13.7861 Å; angles 90.00, 90.00, 90.00 degrees
Space group Cmcm (No. 63)
One atom of each set of equivalent atoms:
Na 0.0000 0.1519 0.0640 [8 per cell]
Sc 0.0000 0.1802 0.7500 [4 per cell]
Br 0.0000 0.0504 0.6212 [8 per cell]
Br 0.0000 0.2942 0.2500 [4 per cell]
Br 0.0000 0.3063 0.6050 [8 per cell]

Output
relative energy among the computed polymorphs = 0 meV per atom
raw formation energy = -1.59 eV per atom

---

6.
The following is a DFT calculation (PBE) of a geometry-optimized Tm4ZrCu5 structure.

Cell lengths 3.3746, 3.3746, 17.0742 Å; angles 90.00, 90.00, 90.00 degrees
Space group P4/mmm (No. 123)
One atom of each set of equivalent atoms:
Tm 0.0000 0.0000 0.1020 [2 per cell]
Tm 0.0000 0.0000 0.3049 [2 per cell]
Zr 0.0000 0.0000 0.5000 [1 per cell]
Cu 0.5000 0.5000 0.0000 [1 per cell]
Cu 0.5000 0.5000 0.2040 [2 per cell]
Cu 0.5000 0.5000 0.4099 [2 per cell]

Output
ΔH_f (0 K) = -246 meV per atom

---

7.
The following is a DFT calculation (PBE) of a geometry-optimized PrLuCdRu structure.

Cell lengths 7.1983, 7.1983, 7.1983 Å; angles 90.00, 90.00, 90.00 degrees
Space group F-43m (No. 216)
One atom of each set of equivalent atoms:
Pr 0.0000 0.0000 0.0000 [4 per cell]
Lu 0.0000 0.0000 0.5000 [4 per cell]
Cd 0.2500 0.2500 0.2500 [4 per cell]
Ru 0.2500 0.2500 0.7500 [4 per cell]

Output
ΔH_f (0 K) = -211 meV per atom

---

8.
The following is a DFT calculation (PBE) of a geometry-optimized BaInHgIr2 structure.

Cell lengths 5.0184, 5.0184, 6.1848 Å; angles 90.00, 90.00, 90.00 degrees
Space group P4/mmm (No. 123)
One atom of each set of equivalent atoms:
Ba 0.0000 0.0000 0.0000 [1 per cell]
In 0.0000 0.0000 0.5000 [1 per cell]
Hg 0.5000 0.5000 0.0000 [1 per cell]
Ir 0.0000 0.5000 0.5000 [2 per cell]

Output
ΔH_f (0 K) = 1010 meV per atom

---

9.
The following is a DFT calculation (PBE) of a geometry-optimized BeSnN2 structure.

Cell lengths 3.3296, 3.3296, 15.8130 Å; angles 90.00, 90.00, 120.00 degrees
Space group R-3m (No. 166, hexagonal axes)
One atom of each set of equivalent atoms:
Be 0.0000 0.0000 0.0000 [3 per cell]
Sn 0.0000 0.0000 0.5000 [3 per cell]
N 0.0000 0.0000 0.0966 [6 per cell]

Output
relative energy among the computed polymorphs = 189 meV per atom
raw formation energy = -0.12 eV per atom

---

10.
The following is a DFT calculation (PBE) of a geometry-optimized Ga2NiPtS structure.

Cell lengths 4.7517, 4.7517, 4.8361 Å; angles 90.00, 90.00, 90.00 degrees
Space group P4/mmm (No. 123)
One atom of each set of equivalent atoms:
Ga 0.0000 0.5000 0.0000 [2 per cell]
Ni 0.0000 0.0000 0.5000 [1 per cell]
Pt 0.0000 0.0000 0.0000 [1 per cell]
S 0.5000 0.5000 0.5000 [1 per cell]

Output
raw formation energy = 0.29 eV per atom

---

11.
The following is a DFT calculation (PBE) of a geometry-optimized NbZn2I structure.

Cell lengths 7.8959, 7.8959, 5.5880 Å; angles 90.00, 90.00, 90.00 degrees
Space group I-42d (No. 122)
One atom of each set of equivalent atoms:
Nb 0.0000 0.0000 0.0000 [4 per cell]
Zn 0.2229 0.2500 0.1250 [8 per cell]
I 0.0000 0.0000 0.5000 [4 per cell]

Output
relative energy among the computed polymorphs = 0 meV per atom
raw formation energy = 0.64 eV per atom

---

12.
The following is a DFT calculation (PBE) of a geometry-optimized Y3Er2Tl2 structure.

Cell lengths 5.3983, 5.3983, 24.0314 Å; angles 90.00, 90.00, 120.00 degrees
Space group R-3m (No. 166, hexagonal axes)
One atom of each set of equivalent atoms:
Y 0.0000 0.0000 0.0000 [3 per cell]
Y 0.0000 0.0000 0.1539 [6 per cell]
Er 0.0000 0.0000 0.4255 [6 per cell]
Tl 0.0000 0.0000 0.2833 [6 per cell]

Output
ΔH_f (0 K) = -201 meV per atom
relative energy among the computed polymorphs = 0 meV per atom

---

| no. | theoretical density (g/cm³) |
| --- | --- |
| 1 | 10.01 |
| 2 | 6.53 |
| 3 | 7.01 |
| 4 | 5.94 |
| 5 | 2.96 |
| 6 | 9.26 |
| 7 | 9.43 |
| 8 | 8.93 |
| 9 | 5.11 |
| 10 | 6.47 |
| 11 | 6.68 |
| 12 | 8.30 |